The following is a DFT calculation (PBE) of crystalline TaTiCuPd at its relaxed geometry.

```
TaTiCuPd
1.0
3.1877 0.0000 0.0000
0.0000 3.1877 0.0000
0.0000 0.0000 6.1106
Ta Ti Cu Pd
1 1 1 1
Direct
0.0000 0.0000 0.0000
0.5000 0.5000 0.7114
0.5000 0.5000 0.2369
0.0000 0.0000 0.4755
```

Summary:
For the volume, the calculation gives 62.1 Å³/cell. For the total magnetic moment, the calculation gives 0.0 μB per formula unit. The total energy is -7.52 eV per atom. The space group is P4mm (99). The value obtained for the formation energy is -0.265 eV per atom.